Below is a relaxed structure of ZrH4, with properties calculated at the GGA-PBE level.

Output
- magnetization (μB/cell) = 0.00
- calculated volume (Å³/f.u.) = 33
- space group = P2/c, No. 13
- relative energy among the computed polymorphs (meV/atom) = 140.8

Structure (POSCAR):
```
ZrH4
1.0
3.732 0.000 0.000
0.000 3.464 0.000
-2.456 0.000 5.106
Zr H
2 8
direct
0.000 0.201 0.250 Zr
0.000 0.799 0.750 Zr
0.195 0.309 0.653 H
0.195 0.691 0.153 H
0.366 0.180 0.056 H
0.366 0.820 0.556 H
0.634 0.180 0.444 H
0.634 0.820 0.944 H
0.805 0.309 0.847 H
0.805 0.691 0.347 H
```